# 1
CoSiIr2: optimized geometry, PBE.

The energy is -7.7983 eV per atom. As for the uncorrected formation energy: -0.94 eV/f.u. The total magnetic moment comes out at 0.3585 μB/atom.

It has space group Amm2 (No. 38), with a = 3.851 Å, b = 2.753 Å, c = 9.799 Å, α = 90.00°, β = 90.00° and γ = 90.00°. The asymmetric unit holds Co at (0.000, 0.000, 0.000), Si at (0.500, 0.000, 0.865), Ir at (0.000, 0.000, 0.268) and Ir at (0.500, 0.000, 0.603).

=====

# 2
CoSi2Ir2: optimized geometry, PBE.

The energy is -7.4793 eV per atom. As for the uncorrected formation energy: -1.72 eV/f.u. The total magnetic moment comes out at 0.3061 μB/atom. As for the energy above the most stable polymorph in this dataset: 0.000 eV per atom.

It has space group P4/mbm (No. 127), with a = 7.001 Å, b = 7.001 Å, c = 2.758 Å, α = 90.00°, β = 90.00° and γ = 90.00°. The asymmetric unit holds Co at (0.000, 0.000, 0.000), Si at (0.152, 0.348, 0.000) and Ir at (0.147, 0.647, 0.500).

=====

# 3
CoSiIr2: optimized geometry, PBE.

The energy is -7.8103 eV per atom. As for the uncorrected formation energy: -0.99 eV/f.u. The total magnetic moment comes out at 0.3397 μB/atom.

It has space group Cm (No. 8), with a = 9.056 Å, b = 2.749 Å, c = 4.424 Å, α = 90.00°, β = 110.19° and γ = 90.00°. The asymmetric unit holds Co at (0.000, 0.000, 0.000), Si at (0.286, 0.000, 0.675), Ir at (0.042, 0.500, 0.528) and Ir at (0.259, 0.500, 0.167).

=====

# 4
CoSi2Ir: optimized geometry, PBE.

The energy is -7.1871 eV per atom. As for the uncorrected formation energy: -1.94 eV/f.u. The total magnetic moment comes out at 0.1514 μB/atom. As for the energy above the most stable polymorph in this dataset: 0.031 eV per atom.

It has space group Pmm2 (No. 25), with a = 2.847 Å, b = 3.505 Å, c = 5.066 Å, α = 90.00°, β = 90.00° and γ = 90.00°. The asymmetric unit holds Co at (0.000, 0.000, 0.000), Si at (0.000, 0.000, 0.547), Si at (0.500, 0.500, 0.855) and Ir at (0.500, 0.500, 0.356).

=====

# 5
CoSi2Ir: optimized geometry, PBE.

The energy is -6.7613 eV per atom. As for the uncorrected formation energy: -0.23 eV/f.u. The total magnetic moment comes out at 0.0018 μB/atom. As for the energy above the most stable polymorph in this dataset: 0.457 eV per atom.

It has space group P4mm (No. 99), with a = 2.725 Å, b = 2.725 Å, c = 7.087 Å, α = 90.00°, β = 90.00° and γ = 90.00°. The asymmetric unit holds Co at (0.000, 0.000, 0.000), Si at (0.000, 0.000, 0.493), Si at (0.500, 0.500, 0.804) and Ir at (0.500, 0.500, 0.268).

=====

# 6
CoSiIr2: optimized geometry, PBE.

The energy is -7.7103 eV per atom. As for the uncorrected formation energy: -0.59 eV/f.u. The total magnetic moment comes out at 0.2455 μB/atom.

It has space group R3m (No. 160, hexagonal axes), with a = 2.7416 Å, b = 2.7416 Å, c = 24.1718 Å, α = 90.00°, β = 90.00° and γ = 120.00°. The asymmetric unit holds Co at (0.0000, 0.0000, 0.0000), Si at (0.0000, 0.0000, 0.2611), Ir at (0.0000, 0.0000, 0.5151) and Ir at (0.0000, 0.0000, 0.7524).

=====

# 7
CoSiIr: optimized geometry, PBE.

The energy is -7.5398 eV per atom. As for the uncorrected formation energy: -1.23 eV/f.u. The total magnetic moment comes out at 0.2899 μB/atom.

It has space group P4/nmm (No. 129, origin choice 2), with a = 3.577 Å, b = 3.577 Å, c = 5.885 Å, α = 90.00°, β = 90.00° and γ = 90.00°. The asymmetric unit holds Co at (0.250, 0.750, 0.000), Si at (0.250, 0.250, 0.251) and Ir at (0.250, 0.250, 0.651).

=====

# 8
CoSiIr: optimized geometry, PBE.

The energy is -7.5117 eV per atom. As for the uncorrected formation energy: -1.15 eV/f.u. The total magnetic moment comes out at 0.1707 μB/atom.

It has space group F-43m (No. 216), with a = 5.485 Å, b = 5.485 Å, c = 5.485 Å, α = 90.00°, β = 90.00° and γ = 90.00°. The asymmetric unit holds Co at (0.000, 0.000, 0.000), Si at (0.250, 0.250, 0.750) and Ir at (0.000, 0.000, 0.500).

=====

# 9
CoSiIr2: optimized geometry, PBE.

The energy is -7.7351 eV per atom. As for the uncorrected formation energy: -0.69 eV/f.u. The total magnetic moment comes out at 0.3383 μB/atom.

It has space group Pmm2 (No. 25), with a = 2.748 Å, b = 3.651 Å, c = 5.255 Å, α = 90.00°, β = 90.00° and γ = 90.00°. The asymmetric unit holds Co at (0.000, 0.000, 0.000), Si at (0.500, 0.500, 0.731), Ir at (0.000, 0.000, 0.514) and Ir at (0.500, 0.500, 0.195).

=====

# 10
CoSi2Ir: optimized geometry, PBE.

The energy is -6.5423 eV per atom. As for the uncorrected formation energy: 0.64 eV/f.u. The total magnetic moment comes out at 0.1706 μB/atom. As for the energy above the most stable polymorph in this dataset: 0.676 eV per atom.

It has space group Cmm2 (No. 35), with a = 2.873 Å, b = 4.677 Å, c = 7.925 Å, α = 90.00°, β = 90.00° and γ = 90.00°. The asymmetric unit holds Co at (0.000, 0.000, 0.000), Si at (0.000, 0.000, 0.524), Si at (0.000, 0.500, 0.785) and Ir at (0.000, 0.500, 0.282).

=====

# 11
CoSi2Ir: optimized geometry, PBE.

The energy is -6.8009 eV per atom. As for the uncorrected formation energy: -0.39 eV/f.u. The total magnetic moment comes out at 0.1872 μB/atom. As for the energy above the most stable polymorph in this dataset: 0.417 eV per atom.

It has space group R3m (No. 160, hexagonal axes), with a = 2.8450 Å, b = 2.8450 Å, c = 22.5656 Å, α = 90.00°, β = 90.00° and γ = 120.00°. The asymmetric unit holds Co at (0.0000, 0.0000, 0.0000), Si at (0.0000, 0.0000, 0.2634), Si at (0.0000, 0.0000, 0.5078) and Ir at (0.0000, 0.0000, 0.7627).

=====

# 12
CoSiIr3: optimized geometry, PBE.

The energy is -6.3460 eV per atom. As for the uncorrected formation energy: 7.38 eV/f.u. The total magnetic moment comes out at 0.5432 μB/atom. As for the energy above the most stable polymorph in this dataset: 0.539 eV per atom.

It has space group Pm-3m (No. 221), with a = 4.444 Å, b = 4.444 Å, c = 4.444 Å, α = 90.00°, β = 90.00° and γ = 90.00°. The asymmetric unit holds Co at (0.000, 0.000, 0.000), Si at (0.500, 0.500, 0.500) and Ir at (0.000, 0.000, 0.500).

=====

# 13
CoSiIr2: optimized geometry, PBE.

The energy is -7.7422 eV per atom. As for the uncorrected formation energy: -0.72 eV/f.u. The total magnetic moment comes out at 0.5776 μB/atom.

It has space group Pmmm (No. 47), with a = 2.782 Å, b = 3.417 Å, c = 5.523 Å, α = 90.00°, β = 90.00° and γ = 90.00°. The asymmetric unit holds Co at (0.000, 0.000, 0.000), Si at (0.000, 0.000, 0.500) and Ir at (0.500, 0.500, 0.253).

=====

# 14
CoSi2Ir: optimized geometry, PBE.

The energy is -7.0371 eV per atom. As for the uncorrected formation energy: -1.34 eV/f.u. The total magnetic moment comes out at 0.0687 μB/atom. As for the energy above the most stable polymorph in this dataset: 0.181 eV per atom.

It has space group P4/mmm (No. 123), with a = 3.853 Å, b = 3.853 Å, c = 3.306 Å, α = 90.00°, β = 90.00° and γ = 90.00°. The asymmetric unit holds Co at (0.000, 0.000, 0.000), Si at (0.000, 0.500, 0.500) and Ir at (0.500, 0.500, 0.000).

=====

# 15
CoSiSn2Ir: optimized geometry, PBE.

The energy is -5.4019 eV per atom. As for the uncorrected formation energy: 2.39 eV/f.u. The total magnetic moment comes out at 0.0000 μB/atom.

It has space group P4/mmm (No. 123), with a = 4.814 Å, b = 4.814 Å, c = 4.186 Å, α = 90.00°, β = 90.00° and γ = 90.00°. The asymmetric unit holds Co at (0.000, 0.000, 0.000), Si at (0.000, 0.000, 0.500), Sn at (0.000, 0.500, 0.000) and Ir at (0.500, 0.500, 0.500).